# SCAN Al2ZnIr, single point on PBEsol structure
data_Al2ZnIr
_space_group_name_H-M_alt 'P m m 2'
_space_group_IT_number 25
_space_group_name_Hall 'P 2 -2'
_cell_length_a 2.8396
_cell_length_b 4.3606
_cell_length_c 4.4940
_cell_angle_alpha 90.00
_cell_angle_beta 90.00
_cell_angle_gamma 90.00
loop_
_atom_site_label
_atom_site_type_symbol
_atom_site_fract_x
_atom_site_fract_y
_atom_site_fract_z
Al1 Al 0.0000 0.0000 0.0000
Al2 Al 0.0000 0.5000 0.3847
Zn1 Zn 0.5000 0.0000 0.5067
Ir1 Ir 0.5000 0.5000 0.8781
# Magnetic moment in Bohr magnetons per cell: 0.0
# D(E_F) in states/eV per atom: 0.28
# Volume in Å³/cell: 55.65
# Final energy in eV per atom: -25.6525
# Mass density in g cm⁻³: 9.3

=====

# SCAN Nb2GaSiTc, single point on PBEsol structure
data_Nb2GaSiTc
_space_group_name_H-M_alt 'P 4/m m m'
_space_group_IT_number 123
_space_group_name_Hall '-P 4 2'
_cell_length_a 4.6261
_cell_length_b 4.6261
_cell_length_c 4.3217
_cell_angle_alpha 90.00
_cell_angle_beta 90.00
_cell_angle_gamma 90.00
loop_
_atom_site_label
_atom_site_type_symbol
_atom_site_fract_x
_atom_site_fract_y
_atom_site_fract_z
Nb1 Nb 0.0000 0.5000 0.0000
Ga1 Ga 0.0000 0.0000 0.5000
Si1 Si 0.5000 0.5000 0.0000
Tc1 Tc 0.5000 0.5000 0.5000
# Magnetic moment in Bohr magnetons per cell: 0.0
# D(E_F) in states/eV per atom: 1.19
# Volume in Å³/cell: 92.49
# Final energy in eV per atom: -24.9021
# Mass density in g cm⁻³: 6.9

=====

# SCAN SrSc2Cl, single point on PBEsol structure
data_SrSc2Cl
_space_group_name_H-M_alt 'P 1 2/m 1'
_space_group_IT_number 10
_space_group_name_Hall '-P 2y'
_cell_length_a 3.4803
_cell_length_b 6.4324
_cell_length_c 4.9387
_cell_angle_alpha 90.00
_cell_angle_beta 90.31
_cell_angle_gamma 90.00
loop_
_atom_site_label
_atom_site_type_symbol
_atom_site_fract_x
_atom_site_fract_y
_atom_site_fract_z
Sr1 Sr 0.0000 0.0000 0.0000
Sc1 Sc 0.2740 0.5000 0.7600
Cl1 Cl 0.5000 0.0000 0.5000
# Magnetic moment in Bohr magnetons per cell: 0.0
# D(E_F) in states/eV per atom: 0.94
# Volume in Å³/cell: 110.56
# Final energy in eV per atom: -15.0525
# Mass density in g cm⁻³: 3.2

=====

# SCAN Sb2WSeI, single point on PBEsol structure
data_Sb2WSeI
_space_group_name_H-M_alt 'P 4/m m m'
_space_group_IT_number 123
_space_group_name_Hall '-P 4 2'
_cell_length_a 5.3030
_cell_length_b 5.3030
_cell_length_c 5.2579
_cell_angle_alpha 90.00
_cell_angle_beta 90.00
_cell_angle_gamma 90.00
loop_
_atom_site_label
_atom_site_type_symbol
_atom_site_fract_x
_atom_site_fract_y
_atom_site_fract_z
Sb1 Sb 0.0000 0.5000 0.0000
W1 W 0.0000 0.0000 0.5000
Se1 Se 0.5000 0.5000 0.0000
I1 I 0.5000 0.5000 0.5000
# Magnetic moment in Bohr magnetons per cell: 3.3
# D(E_F) in states/eV per atom: 0.80
# Volume in Å³/cell: 147.86
# Final energy in eV per atom: -38.4554
# Mass density in g cm⁻³: 7.1

=====

> The lowest final energy belongs to which entry?

Sb2WSeI

=====

> Among the records above, which one has the highest magnetic moment?

Sb2WSeI

=====

> Look up the volume of the third one.

110.56 Å³/cell

=====

> Look up the magnetic moment of the third one.

0.0 Bohr magnetons per cell